# 1
This record from Alexandria describes an optimized crystal structure of Ca2Zn2CuP3. The functional is GGA-PBE.

Results
Calculated formation energy, eV/f.u.: -6.1
D(E_F), states/eV per atom: 0.0194
Magnetization, μB per formula unit: 0.0
Density, g/cm3: 4.00

Lattice parameters (Å, degrees): 4.046 4.046 21.542 90.00 90.00 120.00
Element x y z (fractional)
Ca  0.000  0.000  0.159
Ca  0.000  0.000  0.341
Ca  0.000  0.000  0.659
Ca  0.000  0.000  0.841
Zn  0.333  0.667  0.042
Zn  0.333  0.667  0.458
Zn  0.667  0.333  0.542
Zn  0.667  0.333  0.958
Cu  0.333  0.667  0.750
Cu  0.667  0.333  0.250
P  0.333  0.667  0.250
P  0.333  0.667  0.576
P  0.333  0.667  0.924
P  0.667  0.333  0.076
P  0.667  0.333  0.424
P  0.667  0.333  0.750

# 2
This record from Alexandria describes an optimized crystal structure of CaPaCu2. The functional is GGA-PBE.

Results
Calculated formation energy, eV/f.u.: 0.3
D(E_F), states/eV per atom: 1.2110
Magnetization, μB per formula unit: 0.0
Density, g/cm3: 7.90

Lattice parameters (Å, degrees): 3.333 3.333 7.538 90.00 90.00 90.00
Element x y z (fractional)
Ca  0.000  0.000  0.000
Pa  0.000  0.000  0.500
Cu  0.500  0.500  0.266
Cu  0.500  0.500  0.734

# 3
This record from Alexandria describes an optimized crystal structure of CaPaCu. The functional is GGA-PBE.

Results
Calculated formation energy, eV/f.u.: 0.6
D(E_F), states/eV per atom: 1.5245
Magnetization, μB per formula unit: 0.0
Density, g/cm3: 7.43

Lattice parameters (Å, degrees): 6.009 6.009 7.337 116.82 116.82 40.05
Element x y z (fractional)
Ca  0.000  0.000  0.000
Ca  0.653  0.653  0.792
Pa  0.384  0.384  0.297
Pa  0.756  0.756  0.384
Cu  0.081  0.081  0.453
Cu  0.334  0.334  0.692

# 4
This record from Alexandria describes an optimized crystal structure of Ca2PaCu9. The functional is GGA-PBE.

Results
Calculated formation energy, eV/f.u.: -0.6
D(E_F), states/eV per atom: 0.9993
Magnetization, μB per formula unit: 0.5
Density, g/cm3: 7.60

Lattice parameters (Å, degrees): 8.908 8.908 8.908 33.62 33.62 33.62
Element x y z (fractional)
Ca  0.143  0.143  0.143
Ca  0.857  0.857  0.857
Pa  0.000  0.000  0.000
Cu  0.084  0.578  0.578
Cu  0.332  0.332  0.332
Cu  0.422  0.422  0.916
Cu  0.422  0.916  0.422
Cu  0.500  0.500  0.500
Cu  0.578  0.084  0.578
Cu  0.578  0.578  0.084
Cu  0.668  0.668  0.668
Cu  0.916  0.422  0.422

# 5
This record from Alexandria describes an optimized crystal structure of CaPaCuPd. The functional is GGA-PBE.

Results
Calculated formation energy, eV/f.u.: -0.5
D(E_F), states/eV per atom: 1.3862
Magnetization, μB per formula unit: 0.7
Density, g/cm3: 8.52

Lattice parameters (Å, degrees): 4.954 4.954 4.954 60.00 60.00 60.00
Element x y z (fractional)
Ca  0.000  0.000  0.000
Pa  0.500  0.500  0.500
Cu  0.750  0.750  0.750
Pd  0.250  0.250  0.250

# 6
This record from Alexandria describes an optimized crystal structure of CaPaCuPt. The functional is GGA-PBE.

Results
Calculated formation energy, eV/f.u.: -1.4
D(E_F), states/eV per atom: 1.3293
Magnetization, μB per formula unit: 0.7
Density, g/cm3: 10.33

Lattice parameters (Å, degrees): 4.938 4.938 4.938 60.00 60.00 60.00
Element x y z (fractional)
Ca  0.000  0.000  0.000
Pa  0.500  0.500  0.500
Cu  0.250  0.250  0.250
Pt  0.750  0.750  0.750

> What is the formula in the sixth record?

CaPaCuPt